1.
Tb2Er2Bi2P (PBE, relaxed); mass density = 8657 kg/m3; calculated formation energy = -0.7751 eV/atom
1.0
-2.5525 2.5525 8.1053
2.5525 -2.5525 8.1053
2.5525 2.5525 -8.1053
Tb Er Bi P
2 2 2 1
Direct
0.1659 0.1659 0.0000 Tb
0.8341 0.8341 0.0000 Tb
0.0000 0.5000 0.5000 Er
0.5000 0.0000 0.5000 Er
0.3626 0.3626 0.0000 Bi
0.6374 0.6374 0.0000 Bi
0.0000 0.0000 0.0000 P

---

2.
Er4BiTe2P (PBE, relaxed); ΔE_f (raw) = -120.2 kJ per mole of atoms; mass density = 8746 kg/m3
1.0
7.4294 0.0000 0.0000
0.0000 4.2247 0.0000
-2.4292 0.0000 7.0420
Er Bi Te P
4 1 2 1
Direct
0.2172 0.0000 0.2175 Er
0.2294 0.5000 0.7698 Er
0.7706 0.5000 0.2302 Er
0.7828 0.0000 0.7825 Er
0.0000 0.0000 0.5000 Bi
0.5000 0.0000 0.0000 Te
0.5000 0.5000 0.5000 Te
0.0000 0.5000 0.0000 P

---

3.
Er4Bi2TeP (PBE, relaxed); ΔE_f (raw) = -106.1 kJ per mole of atoms; mass density = 9233 kg/m3
1.0
7.4522 0.0000 0.0000
0.0000 4.2692 0.0000
-2.4423 0.0000 7.0413
Er Bi Te P
4 2 1 1
Direct
0.2259 0.0000 0.2267 Er
0.2343 0.5000 0.7634 Er
0.7657 0.5000 0.2366 Er
0.7741 0.0000 0.7733 Er
0.0000 0.0000 0.5000 Bi
0.5000 0.5000 0.5000 Bi
0.5000 0.0000 0.0000 Te
0.0000 0.5000 0.0000 P

---

4.
ErPaBi (PBE, relaxed); mass density = 12460 kg/m3; offset from the most stable computed form = 0.0 meV per atom; calculated formation energy = -0.2577 eV/atom
1.0
5.4470 0.0000 0.0000
-2.7235 4.7172 0.0000
0.0000 0.0000 6.2989
Er Pa Bi
2 2 2
Direct
0.3333 0.6667 0.2500 Er
0.6667 0.3333 0.7500 Er
0.0000 0.0000 0.0000 Pa
0.0000 0.0000 0.5000 Pa
0.3333 0.6667 0.7500 Bi
0.6667 0.3333 0.2500 Bi

---

5.
ErPaBi (PBE, relaxed); mass density = 11635 kg/m3; offset from the most stable computed form = 225.2 meV per atom; calculated formation energy = -0.0325 eV/atom
1.0
-1.9734 1.9734 5.5637
1.9734 -1.9734 5.5637
1.9734 1.9734 -5.5637
Er Pa Bi
1 1 1
Direct
0.0000 0.0000 0.0000 Er
0.3104 0.3104 0.0000 Pa
0.6489 0.6489 0.0000 Bi

---

6.
Er2PaBi3 (PBE, relaxed); mass density = 10509 kg/m3; calculated formation energy = -0.5462 eV/atom
1.0
-2.2344 2.2344 9.4353
2.2344 -2.2344 9.4353
2.2344 2.2344 -9.4353
Er Pa Bi
2 1 3
Direct
0.1674 0.1674 0.0000 Er
0.8326 0.8326 0.0000 Er
0.5000 0.5000 0.0000 Pa
0.0000 0.0000 0.0000 Bi
0.3325 0.3325 0.0000 Bi
0.6675 0.6675 0.0000 Bi

---

The evaluated total magnetic moment for the records listed, in turn: 0.0; 0.0; 0.0; 1.4; 1.1; 1.3 Bohr magnetons per cell.
The evaluated DOS at the Fermi energy for the records listed, in turn: 5.370; 3.748; 2.043; 3.570; 5.831; 6.293 states/eV/f.u..
The evaluated uncorrected energy for the records listed, in turn: -5.2833; -5.4737; -5.4206; -6.2376; -6.0124; -5.5903 eV per atom.